Material: Li4CrF5
Method: DFT, GGA+U
State: relaxed

Unit cell a=5.216 b=5.216 c=5.216 alpha=102.95 beta=102.95 gamma=123.50
Fractional coordinates of all 10 atoms:
Li  0.098  0.296  0.394
Li  0.296  0.902  0.198
Li  0.704  0.098  0.802
Li  0.902  0.704  0.606
Cr  0.526  0.526  0.000
F  0.066  0.511  0.800
F  0.266  0.066  0.555
F  0.511  0.711  0.445
F  0.711  0.266  0.200
F  0.988  0.988  0.000

## Properties
DFT total energy (Ha/atom): -0.1831